# 1
Material: Tb8Pm2Hg
Method: DFT, PBE-GGA
State: optimized geometry

Results
Electronic total energy = -47.16 eV/f.u.
Energy above the lowest structure with this stoichiometry = 0 meV per atom
ΔE_f = -0.029 eV per atom

a = 9.345 Å, b = 9.345 Å, c = 7.899 Å
α = 105.04°, β = 105.04°, γ = 30.95°
Sites, in units of the cell vectors:
Tb 0.045 0.045 0.222
Tb 0.133 0.133 0.674
Tb 0.320 0.320 0.590
Tb 0.412 0.412 0.058
Tb 0.588 0.588 0.942
Tb 0.680 0.680 0.410
Tb 0.867 0.867 0.326
Tb 0.955 0.955 0.778
Pm 0.223 0.223 0.136
Pm 0.777 0.777 0.864
Hg 0.500 0.500 0.500

=====

# 2
Material: RbY2InHg
Method: DFT, PBE-GGA
State: optimized geometry

Results
Electronic total energy = -10.46 eV/f.u.
ΔE_f = 1.295 eV per atom

a = 5.653 Å, b = 5.653 Å, c = 5.762 Å
α = 90.00°, β = 90.00°, γ = 90.00°
Sites, in units of the cell vectors:
Rb 0.000 0.000 0.000
Y 0.000 0.500 0.000
Y 0.500 0.000 0.000
In 0.000 0.000 0.500
Hg 0.500 0.500 0.500

=====

> Look up the ΔE_f of the second one.

1.295 eV per atom

=====

> Which formula does entry 2 have?

RbY2InHg

=====

> Which value of electronic total energy does entry 1 give?

-47.16 eV/f.u.

=====

> Number 1 is which compound?

Tb8Pm2Hg